LaCoTeO6: relaxed, PBE with a Hubbard U.

Summary:
For the total energy, the calculation gives -6.562 eV/atom. The crystal system is trigonal.

Cell: 5.1088 5.1088 5.2716 Å, 90.00 90.00 120.00°
Space group P312 (No. 149)
Symmetry-distinct sites (fractional):
La: 0.0000 0.0000 0.0000 x1
Co: 0.3333 0.6667 0.5000 x1
Te: 0.6667 0.3333 0.5000 x1
O: 0.0028 0.3737 0.7069 x6